Entry 1:
Entry from the Alexandria database: a PBEsol-optimized structure of BaNaRu2 (meta-GGA SCAN).

As for the formation enthalpy at 0 K: 1.331 eV/atom. As for the density of states at the Fermi level: 1.14 states/eV/atom. The uncorrected energy is -27.024 eV per atom.

Cell: 6.8244 6.8244 6.8244 Å, 90.00 90.00 90.00°
With the nearest neighbours (Å) after each atom.
Space group Fm-3m (No. 225)
Inequivalent atoms, fractional coordinates:
Ba 0.0000 0.0000 0.0000 [4 per cell]  8 Ru 2.96
Na 0.0000 0.0000 0.5000 [4 per cell]  8 Ru 2.96
Ru 0.2500 0.2500 0.2500 [8 per cell]  4 Ba 2.96, 4 Na 2.96

Entry 2:
Entry from the Alexandria database: a PBEsol-optimized structure of BaNa2ScRu (meta-GGA SCAN).

As for the formation enthalpy at 0 K: 1.853 eV/atom. As for the density of states at the Fermi level: 0.65 states/eV/atom. The uncorrected energy is -17.556 eV per atom.

Cell: 5.3221 5.3221 5.4419 Å, 90.00 90.00 90.00°
With the nearest neighbours (Å) after each atom.
Space group P4/mmm (No. 123)
Inequivalent atoms, fractional coordinates:
Ba 0.0000 0.0000 0.0000 [1 per cell]  4 Na 2.66, 2 Sc 2.72
Na 0.0000 0.5000 0.0000 [2 per cell]  2 Ba 2.66
Sc 0.0000 0.0000 0.5000 [1 per cell]  2 Ba 2.72
Ru 0.5000 0.5000 0.5000 [1 per cell]  4 Sc 3.76, 8 Na 3.81

Entry 3:
Entry from the Alexandria database: a PBEsol-optimized structure of BaNa2S (meta-GGA SCAN).

As for the density of states at the Fermi level: 0.38 states/eV/atom. The uncorrected energy is -14.862 eV per atom.

Cell: 8.2711 8.2711 11.5277 Å, 90.00 90.00 90.00°
With the nearest neighbours (Å) after each atom.
Space group I-42d (No. 122)
Inequivalent atoms, fractional coordinates:
Ba 0.0000 0.0000 0.0000 [4 per cell]  12 Na 4.67-5.02, 4 Ba 5.04, 4 S 5.04
Na 0.0244 0.2500 0.6250 [8 per cell]  2 S 2.53
S 0.0000 0.0000 0.5000 [4 per cell]  4 Na 2.53

Entry 4:
Entry from the Alexandria database: a PBEsol-optimized structure of Ba3NaS (meta-GGA SCAN).

As for the density of states at the Fermi level: 1.20 states/eV/atom. The uncorrected energy is -27.365 eV per atom.

Cell: 6.1992 6.1992 6.1992 Å, 90.00 90.00 90.00°
With the nearest neighbours (Å) after each atom.
Space group Pm-3m (No. 221)
Inequivalent atoms, fractional coordinates:
Ba 0.0000 0.0000 0.5000 [3 per cell]  2 S 3.10
Na 0.5000 0.5000 0.5000 [1 per cell]  12 Ba 4.38
S 0.0000 0.0000 0.0000 [1 per cell]  6 Ba 3.10

Look up the uncorrected energy of the fourth one. -27.365 eV per atom

Which of these has the lowest uncorrected energy? Ba3NaS

Please write out number 4 again, unchanged.
Entry from the Alexandria database: a PBEsol-optimized structure of Ba3NaS (meta-GGA SCAN).

As for the density of states at the Fermi level: 1.20 states/eV/atom. The uncorrected energy is -27.365 eV per atom.

Cell: 6.1992 6.1992 6.1992 Å, 90.00 90.00 90.00°
With the nearest neighbours (Å) after each atom.
Space group Pm-3m (No. 221)
Inequivalent atoms, fractional coordinates:
Ba 0.0000 0.0000 0.5000 [3 per cell]  2 S 3.10
Na 0.5000 0.5000 0.5000 [1 per cell]  12 Ba 4.38
S 0.0000 0.0000 0.0000 [1 per cell]  6 Ba 3.10

The highest uncorrected energy belongs to which entry? BaNa2S